Entry 1:
KMg2Mn after structural relaxation. Source: the Alexandria database, functional PBE.

* distance to the lowest polymorph of the same formula: 106 kJ/mol of formula units
* formation energy from the elements: 626 meV/atom
* final energy: -2.7380 eV/atom

a b c (Å): 6.081 6.081 3.110
angles (deg): 90.25 90.25 112.17
Fractional coordinates of all 4 atoms:
1 K 0.000 0.000 0.000
2 Mg 0.000 0.500 0.500
3 Mg 0.500 0.000 0.500
4 Mn 0.500 0.500 0.000


Entry 2:
BeZnMo2 after structural relaxation. Source: the Alexandria database, functional PBE.

* distance to the lowest polymorph of the same formula: 17 kJ/mol of formula units
* formation energy from the elements: 128 meV/atom
* final energy: -6.5376 eV/atom

a b c (Å): 2.644 4.005 5.280
angles (deg): 90.00 97.65 90.00
Fractional coordinates of all 4 atoms:
1 Be 0.000 0.000 0.000
2 Zn 0.000 0.000 0.500
3 Mo 0.469 0.500 0.235
4 Mo 0.531 0.500 0.765


Entry 3:
TbNdInPt after structural relaxation. Source: the Alexandria database, functional PBE.

* formation energy from the elements: -684 meV/atom
* final energy: -5.2287 eV/atom

a b c (Å): 5.229 5.229 5.229
angles (deg): 60.00 60.00 60.00
Fractional coordinates of all 4 atoms:
1 Tb 0.000 0.000 0.000
2 Nd 0.500 0.500 0.500
3 In 0.250 0.250 0.250
4 Pt 0.750 0.750 0.750